# 1
First-principles (PBE) data for an optimized crystal structure of PrY2Mg3CdIn2, as listed in OQMD.

Properties
Its symmetry is Amm2, No. 38. For the mass density, the calculation gives 5190 kg/m³. For the spin magnetization, the calculation gives 0.00 μB per formula unit. Its calculated total energy is -3.583 eV per atom.

Lattice parameters (Å, degrees): 4.685 7.646 7.646 121.02 90.00 90.00
Positions (direct):
Cd (0.000, 0.992, 0.992)
In (0.500, 0.672, 0.333)
In (0.500, 0.333, 0.672)
Mg (0.500, 0.000, 0.239)
Mg (0.500, 0.759, 0.759)
Mg (0.500, 0.239, 0.000)
Pr (0.000, 0.426, 0.426)
Y (0.000, 0.577, 0.002)
Y (0.000, 0.002, 0.577)

***

# 2
First-principles (PBE) data for an optimized crystal structure of Sm2TmMg3CdIn2, as listed in OQMD.

Properties
Its symmetry is Amm2, No. 38. For the mass density, the calculation gives 6325 kg/m³. For the spin magnetization, the calculation gives 0.02 μB per formula unit. Its calculated total energy is -3.139 eV per atom.

Lattice parameters (Å, degrees): 4.673 7.534 7.534 118.89 90.00 90.00
Positions (direct):
Cd (0.000, 0.990, 0.990)
In (0.500, 0.666, 0.340)
In (0.500, 0.340, 0.666)
Mg (0.500, 0.760, 0.000)
Mg (0.500, 0.237, 0.237)
Mg (0.500, 0.000, 0.760)
Sm (0.000, 0.426, 0.003)
Sm (0.000, 0.003, 0.426)
Tm (0.000, 0.577, 0.577)